A relaxed structure of AcPr2TlO. Source: the Alexandria database, functional PBE.

Values from the calculation:
VASP energy (Ry/atom): -0.4021

abc: 5.1005 5.1005 5.2052
angles: 90.00 90.00 90.00
Last column: nearest neighbours and their distance in Å.
Space group P4/mmm (No. 123)
One atom of each set of equivalent atoms:
Ac1 0.0000 0.0000 0.0000 x1  2 O 2.60
Pr1 0.0000 0.5000 0.5000 x2  2 O 2.55
Tl1 0.5000 0.5000 0.0000 x1  4 Ac 3.61, 8 Pr 3.64
O1 0.0000 0.0000 0.5000 x1  4 Pr 2.55, 2 Ac 2.60